(1)
Here is a relaxed MgPtW2 crystal from Alexandria. Energies are from PBE-GGA.

a b c (Å): 5.123 5.123 5.123
angles (deg): 141.62 126.91 67.38
Element x y z (fractional)
W1 0.766 0.266 0.500
W2 0.991 0.991 0.000
Mg1 0.495 0.495 0.000
Pt1 0.247 0.747 0.500

Size of the total moment (μB/f.u.): 0.00
ΔH_f (0 K) (eV per formula unit): 0.69
VASP energy (Ha/atom): -0.3019


(2)
Here is a relaxed Re2TcNiSb crystal from Alexandria. Energies are from PBE-GGA.

a b c (Å): 4.808 4.767 4.808
angles (deg): 90.00 90.00 90.00
Each line ends with the local moment (μB).
Element x y z (fractional)
Re1 0.500 0.000 0.000  0.01
Re2 0.000 0.000 0.500  0.07
Sb1 0.000 0.000 0.000  0.02
Ni1 0.500 0.500 0.500  0.77
Tc1 0.000 0.500 0.000  0.01

Size of the total moment (μB/f.u.): 0.86
Energy relative to the elements, uncorrected (meV per atom): 2692.9
VASP energy (Ha/atom): -0.2330


(3)
Here is a relaxed ErTm14Th crystal from Alexandria. Energies are from PBE-GGA.

a b c (Å): 7.031 7.031 11.309
angles (deg): 90.00 90.00 119.98
Element x y z (fractional)
Er1 0.208 0.792 0.500
Tm1 0.874 0.622 0.752
Tm2 0.042 0.459 0.000
Tm3 0.042 0.958 0.000
Tm4 0.874 0.622 0.248
Tm5 0.874 0.126 0.751
Tm6 0.874 0.126 0.249
Tm7 0.378 0.126 0.248
Tm8 0.541 0.958 0.000
Tm9 0.378 0.126 0.752
Tm10 0.375 0.625 0.249
Tm11 0.541 0.459 0.000
Tm12 0.709 0.792 0.500
Tm13 0.375 0.625 0.751
Tm14 0.208 0.291 0.500
Th1 0.708 0.292 0.500

Size of the total moment (μB/f.u.): 0.00
ΔH_f (0 K) (eV per formula unit): 0.20
VASP energy (Ha/atom): -0.1708


Copy entry 1 word for word.
Here is a relaxed MgPtW2 crystal from Alexandria. Energies are from PBE-GGA.

a b c (Å): 5.123 5.123 5.123
angles (deg): 141.62 126.91 67.38
Element x y z (fractional)
W1 0.766 0.266 0.500
W2 0.991 0.991 0.000
Mg1 0.495 0.495 0.000
Pt1 0.247 0.747 0.500

Size of the total moment (μB/f.u.): 0.00
ΔH_f (0 K) (eV per formula unit): 0.69
VASP energy (Ha/atom): -0.3019